(1)
DFT (GGA-PBE) results for crystalline K2W3Au2 at its relaxed geometry.

Lattice parameters (Å, degrees): 12.4294 12.4294 12.4294 20.26 20.26 20.26
With the nearest neighbours (Å) after each atom.
Positions (direct):
1 K 0.0000 0.0000 0.0000  6 Au 3.31-3.48
2 K 0.4507 0.4507 0.4507  3 Au 3.31
3 W 0.1931 0.1931 0.1931  6 W 2.60-2.89, 1 Au 2.73
4 W 0.5650 0.5650 0.5650  6 W 2.64-2.89, 3 Au 2.85
5 W 0.8771 0.8771 0.8771  6 W 2.60-2.64
6 Au 0.2678 0.2678 0.2678  4 W 2.73-2.85
7 Au 0.7254 0.7254 0.7254  6 K 3.31

Summary:
**Calculated volume**: 201 Å³ per cell
**E**: -6.144 eV/atom

***

(2)
DFT (GGA-PBE) results for crystalline KWAu at its relaxed geometry.

Lattice parameters (Å, degrees): 7.2850 7.2850 7.2850 90.00 90.00 90.00
With the nearest neighbours (Å) after each atom.
Positions (direct):
1 K 0.0000 0.0000 0.0000  4 W 3.15, 4 Au 3.15
2 K 0.0000 0.5000 0.5000  4 W 3.15, 4 Au 3.15
3 K 0.5000 0.0000 0.5000  4 W 3.15, 4 Au 3.15
4 K 0.5000 0.5000 0.0000  4 W 3.15, 4 Au 3.15
5 W 0.2500 0.2500 0.2500  4 K 3.15
6 W 0.2500 0.7500 0.7500  4 K 3.15
7 W 0.7500 0.2500 0.7500  4 K 3.15
8 W 0.7500 0.7500 0.2500  4 K 3.15
9 Au 0.2500 0.2500 0.7500  4 K 3.15
10 Au 0.2500 0.7500 0.2500  4 K 3.15
11 Au 0.7500 0.2500 0.2500  4 K 3.15
12 Au 0.7500 0.7500 0.7500  4 K 3.15

Summary:
**Excess energy over the best structure of this formula in the dataset**: 598 meV/atom
**Calculated volume**: 387 Å³ per cell

***

(3)
DFT (GGA-PBE) results for crystalline K3Zn4Au4 at its relaxed geometry.

Lattice parameters (Å, degrees): 7.0685 7.0685 7.0685 109.47 109.47 109.47
With the nearest neighbours (Å) after each atom.
Positions (direct):
1 K 0.0000 0.5000 0.5000  4 Au 3.36, 4 Zn 3.40
2 K 0.5000 0.0000 0.5000  4 Au 3.36, 4 Zn 3.40
3 K 0.5000 0.5000 0.0000  4 Au 3.36, 4 Zn 3.40
4 Zn 0.0000 0.0000 0.7589  4 Au 2.58-2.74, 3 Zn 2.78
5 Zn 0.0000 0.7589 0.0000  4 Au 2.58-2.74, 3 Zn 2.78
6 Zn 0.2411 0.2411 0.2411  4 Au 2.58-2.74, 3 Zn 2.78
7 Zn 0.7589 0.0000 0.0000  4 Au 2.58-2.74, 3 Zn 2.78
8 Au 0.0000 0.0000 0.3939  4 Zn 2.58-2.74
9 Au 0.0000 0.3939 0.0000  4 Zn 2.58-2.74
10 Au 0.3939 0.0000 0.0000  4 Zn 2.58-2.74
11 Au 0.6061 0.6061 0.6061  4 Zn 2.58-2.74

Summary:
**Calculated volume**: 272 Å³ per cell
**E**: -2.220 eV/atom

***

(4)
DFT (GGA-PBE) results for crystalline KZn2Au2 at its relaxed geometry.

Lattice parameters (Å, degrees): 4.4409 4.4409 11.5166 90.00 90.00 90.00
With the nearest neighbours (Å) after each atom.
Positions (direct):
1 K 0.0000 0.0000 0.0000  8 Au 3.44, 8 Zn 3.64
2 K 0.5000 0.5000 0.5000  8 Au 3.44, 8 Zn 3.64
3 Zn 0.0000 0.5000 0.2500  4 Au 2.66
4 Zn 0.0000 0.5000 0.7500  4 Au 2.66
5 Zn 0.5000 0.0000 0.2500  4 Au 2.66
6 Zn 0.5000 0.0000 0.7500  4 Au 2.66
7 Au 0.0000 0.0000 0.3778  4 Zn 2.66, 1 Au 2.81
8 Au 0.0000 0.0000 0.6222  4 Zn 2.66, 1 Au 2.81
9 Au 0.5000 0.5000 0.1222  4 Zn 2.66, 1 Au 2.81
10 Au 0.5000 0.5000 0.8778  4 Zn 2.66, 1 Au 2.81

Summary:
**Calculated volume**: 227 Å³ per cell
**E**: -2.276 eV/atom

***

(5)
DFT (GGA-PBE) results for crystalline KZn2Au3 at its relaxed geometry.

Lattice parameters (Å, degrees): 7.1109 7.1109 5.5436 90.00 90.00 73.22
With the nearest neighbours (Å) after each atom.
Positions (direct):
1 K 0.1625 0.8375 0.7500  9 Au 3.48-3.68, 4 Zn 3.86
2 K 0.8375 0.1625 0.2500  9 Au 3.48-3.68, 4 Zn 3.86
3 Zn 0.3082 0.3082 0.0000  6 Au 2.63-2.71, 2 Zn 2.77
4 Zn 0.3082 0.3082 0.5000  6 Au 2.63-2.71, 2 Zn 2.77
5 Zn 0.6918 0.6918 0.0000  6 Au 2.63-2.71, 2 Zn 2.77
6 Zn 0.6918 0.6918 0.5000  6 Au 2.63-2.71, 2 Zn 2.77
7 Au 0.0185 0.5674 0.2500  4 Zn 2.63-2.71, 1 Au 2.85
8 Au 0.4124 0.5876 0.2500  4 Zn 2.70, 2 Au 2.85
9 Au 0.4326 0.9815 0.2500  4 Zn 2.63-2.71, 1 Au 2.85
10 Au 0.5674 0.0185 0.7500  4 Zn 2.63-2.71, 1 Au 2.85
11 Au 0.5876 0.4124 0.7500  4 Zn 2.70, 2 Au 2.85
12 Au 0.9815 0.4326 0.7500  4 Zn 2.63-2.71, 1 Au 2.85

Summary:
**Calculated volume**: 268 Å³ per cell
**E**: -2.563 eV/atom

***

(6)
DFT (GGA-PBE) results for crystalline LaAu2 at its relaxed geometry.

Lattice parameters (Å, degrees): 4.7513 7.1918 8.3763 90.00 90.00 90.00
With the nearest neighbours (Å) after each atom.
Positions (direct):
1 La 0.0000 0.2500 0.0323  12 Au 3.25-3.46, 2 La 3.64
2 La 0.0000 0.7500 0.9677  12 Au 3.25-3.46, 2 La 3.64
3 La 0.5000 0.2500 0.4677  12 Au 3.25-3.46, 2 La 3.64
4 La 0.5000 0.7500 0.5323  12 Au 3.25-3.46, 2 La 3.64
5 Au 0.0000 0.0319 0.6642  3 Au 2.78-2.79
6 Au 0.0000 0.4681 0.6642  3 Au 2.78-2.79
7 Au 0.0000 0.5319 0.3358  3 Au 2.78-2.79
8 Au 0.0000 0.9681 0.3358  3 Au 2.78-2.79
9 Au 0.5000 0.0319 0.8358  3 Au 2.78-2.79
10 Au 0.5000 0.4681 0.8358  3 Au 2.78-2.79
11 Au 0.5000 0.5319 0.1642  3 Au 2.78-2.79
12 Au 0.5000 0.9681 0.1642  3 Au 2.78-2.79

Summary:
**Calculated volume**: 286 Å³ per cell
**Energy of formation from the pure elements**: -79 kJ per mole of atoms

***

(7)
DFT (GGA-PBE) results for crystalline LaAu6 at its relaxed geometry.

Lattice parameters (Å, degrees): 5.5761 5.5761 9.2178 97.29 97.29 89.87
With the nearest neighbours (Å) after each atom.
Positions (direct):
1 La 0.1858 0.8142 0.7500  14 Au 3.19-3.34
2 La 0.8142 0.1858 0.2500  14 Au 3.19-3.34
3 Au 0.0412 0.6651 0.1274  8 Au 2.78-2.95
4 Au 0.1154 0.2790 0.5811  6 Au 2.79-3.01
5 Au 0.2790 0.1154 0.0811  6 Au 2.79-3.01
6 Au 0.3349 0.9588 0.3726  8 Au 2.78-2.95
7 Au 0.3436 0.4584 0.3637  8 Au 2.78-3.01
8 Au 0.4584 0.3436 0.8637  8 Au 2.78-3.01
9 Au 0.5416 0.6564 0.1363  8 Au 2.78-3.01
10 Au 0.6564 0.5416 0.6363  8 Au 2.78-3.01
11 Au 0.6651 0.0412 0.6274  8 Au 2.78-2.95
12 Au 0.7210 0.8846 0.9189  6 Au 2.79-3.01
13 Au 0.8846 0.7210 0.4189  6 Au 2.79-3.01
14 Au 0.9588 0.3349 0.8726  8 Au 2.78-2.95

Summary:
**Calculated volume**: 282 Å³ per cell
**Energy of formation from the pure elements**: -43 kJ per mole of atoms

***

(8)
DFT (GGA-PBE) results for crystalline LaAu at its relaxed geometry.

Lattice parameters (Å, degrees): 6.2102 6.2102 6.2102 90.00 90.00 90.00
With the nearest neighbours (Å) after each atom.
Positions (direct):
1 La 0.0000 0.0000 0.0000  6 Au 3.11
2 La 0.0000 0.5000 0.5000  6 Au 3.11
3 La 0.5000 0.0000 0.5000  6 Au 3.11
4 La 0.5000 0.5000 0.0000  6 Au 3.11
5 Au 0.0000 0.0000 0.5000  6 La 3.11
6 Au 0.0000 0.5000 0.0000  6 La 3.11
7 Au 0.5000 0.0000 0.0000  6 La 3.11
8 Au 0.5000 0.5000 0.5000  6 La 3.11

Summary:
**Calculated volume**: 240 Å³ per cell
**Energy of formation from the pure elements**: -68 kJ per mole of atoms

***

(9)
DFT (GGA-PBE) results for crystalline LaAu2 at its relaxed geometry.

Lattice parameters (Å, degrees): 4.3651 4.3651 4.6835 90.00 90.00 120.00
With the nearest neighbours (Å) after each atom.
Positions (direct):
1 La 0.0000 0.0000 0.0000  6 Au 3.09
2 Au 0.3333 0.6667 0.3803  3 Au 2.76, 3 La 3.09
3 Au 0.6667 0.3333 0.6197  3 Au 2.76, 3 La 3.09

Summary:
**Calculated volume**: 77 Å³ per cell
**Energy of formation from the pure elements**: -63 kJ per mole of atoms

***

(10)
DFT (GGA-PBE) results for crystalline Li4LaAu2 at its relaxed geometry.

Lattice parameters (Å, degrees): 7.9050 7.9050 4.3225 90.00 90.00 90.00
With the nearest neighbours (Å) after each atom.
Positions (direct):
1 Li 0.0951 0.3489 0.0000  3 Au 2.66-2.68, 6 Li 2.82-2.94
2 Li 0.1511 0.5951 0.5000  3 Au 2.66-2.68, 6 Li 2.82-2.94
3 Li 0.3489 0.0951 0.0000  3 Au 2.66-2.68, 6 Li 2.82-2.94
4 Li 0.4049 0.8489 0.5000  3 Au 2.66-2.68, 6 Li 2.82-2.94
5 Li 0.5951 0.1511 0.5000  3 Au 2.66-2.68, 6 Li 2.82-2.94
6 Li 0.6511 0.9049 0.0000  3 Au 2.66-2.68, 6 Li 2.82-2.94
7 Li 0.8489 0.4049 0.5000  3 Au 2.66-2.68, 6 Li 2.82-2.94
8 Li 0.9049 0.6511 0.0000  3 Au 2.66-2.68, 6 Li 2.82-2.94
9 La 0.0000 0.0000 0.5000  6 Au 3.20-3.22, 12 Li 3.42-3.58
10 La 0.5000 0.5000 0.0000  6 Au 3.20-3.22, 12 Li 3.42-3.58
11 Au 0.2134 0.7866 0.0000  6 Li 2.66-2.68
12 Au 0.2866 0.2866 0.5000  6 Li 2.66-2.68
13 Au 0.7134 0.7134 0.5000  6 Li 2.66-2.68
14 Au 0.7866 0.2134 0.0000  6 Li 2.66-2.68

Summary:
**Calculated volume**: 270 Å³ per cell
**E**: -3.215 eV/atom